No. 1
Material: DySi2Pd7
Method: DFT, PBE
State: optimized geometry

Geometry as POSCAR:
```
DySi2Pd7
1.0
3.968 0.000 -0.764
-0.147 3.965 -0.764
-0.044 -0.046 10.464
Dy Si Pd
1 2 7
Direct
0.000 0.000 0.000
0.675 0.675 0.351
0.325 0.325 0.649
0.108 0.608 0.215
0.392 0.892 0.785
0.608 0.108 0.215
0.500 0.500 0.000
0.750 0.250 0.500
0.892 0.392 0.785
0.250 0.750 0.500
```

Summary:
- Formation energy (no corrections): -758 meV per atom



No. 2
Material: KCaOs2
Method: DFT, PBE
State: optimized geometry

Geometry as POSCAR:
```
KCaOs2
1.0
-2.382 -2.604 1.641
-0.208 -1.934 -3.371
5.697 -3.991 1.938
Ca K Os
1 1 2
Direct
0.500 0.500 0.250
0.500 0.500 0.750
0.000 0.000 0.095
0.000 0.000 0.405
```

Summary:
- Energy of formation from the pure elements: 1.24 eV per atom
- Energy above the lowest structure with this stoichiometry: 852.0 meV/atom



No. 3
Material: Mn2NiAs
Method: DFT, PBE
State: optimized geometry

Geometry as POSCAR:
```
Mn2NiAs
1.0
-2.618 -1.779 -0.231
0.866 -1.610 2.594
-2.589 3.422 2.988
As Mn Ni
1 2 1
Direct
0.500 0.500 0.738
0.000 0.000 0.019
0.500 0.500 0.249
0.000 0.000 0.494
```

Summary:
- Energy of formation from the pure elements: -0.02 eV per atom



No. 4
Material: NaCa2Sn6
Method: DFT, PBE
State: optimized geometry

Geometry as POSCAR:
```
NaCa2Sn6
1.0
-3.819 2.728 -0.544
-4.550 -3.662 -6.935
-6.980 -5.769 -0.447
Na Ca Sn
1 2 6
Direct
0.000 0.000 0.000
0.116 0.384 0.384
0.884 0.616 0.616
0.306 0.989 0.399
0.694 0.011 0.601
0.694 0.601 0.011
0.500 0.291 0.709
0.500 0.709 0.291
0.306 0.399 0.989
```

Summary:
- Energy of formation from the pure elements: -0.36 eV per atom



No. 5
Material: Ba2SrAl
Method: DFT, PBE
State: optimized geometry

Geometry as POSCAR:
```
Ba2SrAl
1.0
7.944 0.011 -0.006
6.824 4.067 -0.006
2.566 0.709 5.800
Sr Ba Al
1 2 1
Direct
0.560 0.560 0.440
0.943 0.943 0.057
0.753 0.753 0.747
0.245 0.245 0.255
```

Summary:
- Energy of formation from the pure elements: -0.01 eV per atom



No. 6
Material: Mg2MnSb
Method: DFT, PBE
State: optimized geometry

Geometry as POSCAR:
```
Mg2MnSb
1.0
-8.998 -2.549 2.188
-7.389 -4.198 4.475
-8.155 -1.081 4.958
Mg Mn Sb
2 1 1
Direct
0.999 0.999 0.999
0.757 0.757 0.757
0.501 0.501 0.501
0.243 0.243 0.243
```

Summary:
- Formation energy (no corrections): 178 meV per atom